(1)
14
Lattice="4.982 -3.739 0.000 4.982 3.739 0.000 -3.369 0.000 11.292" Properties=species:S:1:pos:R:3 comment="Nd5NiHg, relaxed, DFT PBE-GGA" volume_a3_per_cell=421 formation_energy_ev_per_atom=-0.11 space_group=C2/c pbc="T T T"
Nd 2.455 3.613 8.469
Nd 1.966 1.370 1.515
Nd 2.344 1.290 5.041
Nd 0.281 -1.370 7.161
Nd 5.934 1.290 0.605
Nd 0.660 -1.290 10.688
Nd 6.313 1.370 4.131
Nd 4.250 -1.290 6.251
Nd 4.628 -1.370 9.777
Nd 4.139 -3.613 2.823
Ni 0.000 0.000 0.000
Ni -1.685 0.000 5.646
Hg 2.455 0.505 8.469
Hg 4.139 -0.505 2.823

=====

(2)
9
Lattice="8.914 0.000 0.000 -4.457 7.720 0.000 0.000 0.000 3.785" Properties=species:S:1:pos:R:3 comment="Nd6NiHg2, relaxed, DFT PBE-GGA" volume_a3_per_cell=260 polymorph_energy_mev_per_atom=0 formation_energy_ev_per_atom=-0.29 space_group=P-62m pbc="T T T"
Nd -1.055 1.827 0.000
Nd -2.646 4.582 1.892
Nd 2.110 0.000 0.000
Nd 1.811 3.138 1.892
Nd 5.291 0.000 1.892
Nd 3.402 5.893 0.000
Ni 0.000 0.000 1.892
Hg 0.000 5.147 0.000
Hg 4.457 2.573 0.000

=====

Please write out number 1 again, unchanged.
14
Lattice="4.982 -3.739 0.000 4.982 3.739 0.000 -3.369 0.000 11.292" Properties=species:S:1:pos:R:3 comment="Nd5NiHg, relaxed, DFT PBE-GGA" volume_a3_per_cell=421 formation_energy_ev_per_atom=-0.11 space_group=C2/c pbc="T T T"
Nd 2.455 3.613 8.469
Nd 1.966 1.370 1.515
Nd 2.344 1.290 5.041
Nd 0.281 -1.370 7.161
Nd 5.934 1.290 0.605
Nd 0.660 -1.290 10.688
Nd 6.313 1.370 4.131
Nd 4.250 -1.290 6.251
Nd 4.628 -1.370 9.777
Nd 4.139 -3.613 2.823
Ni 0.000 0.000 0.000
Ni -1.685 0.000 5.646
Hg 2.455 0.505 8.469
Hg 4.139 -0.505 2.823

=====

Repeat the second record exactly.
9
Lattice="8.914 0.000 0.000 -4.457 7.720 0.000 0.000 0.000 3.785" Properties=species:S:1:pos:R:3 comment="Nd6NiHg2, relaxed, DFT PBE-GGA" volume_a3_per_cell=260 polymorph_energy_mev_per_atom=0 formation_energy_ev_per_atom=-0.29 space_group=P-62m pbc="T T T"
Nd -1.055 1.827 0.000
Nd -2.646 4.582 1.892
Nd 2.110 0.000 0.000
Nd 1.811 3.138 1.892
Nd 5.291 0.000 1.892
Nd 3.402 5.893 0.000
Ni 0.000 0.000 1.892
Hg 0.000 5.147 0.000
Hg 4.457 2.573 0.000

=====

- Which formula does entry 2 have?
  Nd6NiHg2